Record 1
Entry from Alexandria: crystalline Tm5Mg2Ru2Rh at its relaxed geometry (PBE-GGA).

Unit cell a=11.496 b=11.496 c=3.496 alpha=90.00 beta=90.00 gamma=90.00
Fractional positions:
Tm: 0.000 0.500 0.000
Tm: 0.060 0.197 0.000
Tm: 0.197 0.940 0.000
Tm: 0.303 0.440 0.000
Tm: 0.440 0.697 0.000
Tm: 0.500 0.000 0.000
Tm: 0.560 0.303 0.000
Tm: 0.697 0.560 0.000
Tm: 0.803 0.060 0.000
Tm: 0.940 0.803 0.000
Mg: 0.185 0.685 0.500
Mg: 0.315 0.185 0.500
Mg: 0.685 0.815 0.500
Mg: 0.815 0.315 0.500
Ru: 0.134 0.366 0.500
Ru: 0.366 0.866 0.500
Ru: 0.634 0.134 0.500
Ru: 0.866 0.634 0.500
Rh: 0.000 0.000 0.500
Rh: 0.500 0.500 0.500

Output
E_form, kJ per mole of atoms: -35.6
Symmetry: No. 127
VASP energy, eV/atom: -5.51

---

Record 2
Entry from Alexandria: crystalline Pm4Mg3Pb5 at its relaxed geometry (PBE-GGA).

Unit cell a=6.363 b=6.363 c=12.347 alpha=99.03 beta=99.03 gamma=47.25
Fractional positions:
Pm: 0.108 0.108 0.247
Pm: 0.138 0.138 0.595
Pm: 0.862 0.862 0.405
Pm: 0.892 0.892 0.753
Mg: 0.231 0.231 0.890
Mg: 0.500 0.500 0.000
Mg: 0.769 0.769 0.110
Pb: 0.000 0.000 0.000
Pb: 0.386 0.386 0.223
Pb: 0.405 0.405 0.579
Pb: 0.595 0.595 0.421
Pb: 0.614 0.614 0.777

Output
E_form, kJ per mole of atoms: -22.4
Symmetry: No. 12
VASP energy, eV/atom: -3.76

---

Record 3
Entry from Alexandria: crystalline Mg2IrW at its relaxed geometry (PBE-GGA).

Unit cell a=5.480 b=5.480 c=5.480 alpha=148.84 beta=128.96 gamma=61.02
Fractional positions:
Mg: 0.235 0.235 0.000
Mg: 0.765 0.765 0.000
Ir: 0.000 0.500 0.500
W: 0.500 0.000 0.500

Output
E_form, kJ per mole of atoms: 12.9
Symmetry: No. 71
VASP energy, eV/atom: -6.12

---

Record 4
Entry from Alexandria: crystalline Pm3C2Cl2 at its relaxed geometry (PBE-GGA).

Unit cell a=3.673 b=6.364 c=7.409 alpha=100.69 beta=90.71 gamma=103.73
Fractional positions:
Pm: 0.000 0.000 0.000
Pm: 0.218 0.446 0.783
Pm: 0.782 0.554 0.217
C: 0.361 0.727 0.063
C: 0.639 0.273 0.937
Cl: 0.150 0.257 0.372
Cl: 0.850 0.743 0.628

Output
Symmetry: No. 2
VASP energy, eV/atom: -6.03
ΔE_f (raw), meV/atom: -833

---

Record 5
Entry from Alexandria: crystalline EuThC2 at its relaxed geometry (PBE-GGA).

Unit cell a=6.478 b=6.478 c=6.478 alpha=33.79 beta=33.79 gamma=33.79
Fractional positions:
Eu: 0.000 0.000 0.000
Th: 0.500 0.500 0.500
C: 0.243 0.243 0.243
C: 0.757 0.757 0.757

Output
E_form, kJ per mole of atoms: 22.6
Symmetry: No. 166
VASP energy, eV/atom: -8.80

---

Record 6
Entry from Alexandria: crystalline TaHgH at its relaxed geometry (PBE-GGA).

Unit cell a=5.804 b=3.607 c=9.490 alpha=90.00 beta=90.00 gamma=90.00
Fractional positions:
Ta: 0.125 0.250 0.073
Ta: 0.375 0.750 0.573
Ta: 0.625 0.250 0.427
Ta: 0.875 0.750 0.927
Hg: 0.108 0.250 0.371
Hg: 0.392 0.750 0.871
Hg: 0.608 0.250 0.129
Hg: 0.892 0.750 0.629
H: 0.012 0.750 0.109
H: 0.488 0.250 0.609
H: 0.512 0.750 0.391
H: 0.988 0.250 0.891

Output
ΔE to the lowest computed polymorph, eV/atom: 0.2317
Symmetry: No. 62
VASP energy, eV/atom: -4.83

---

Record 7
Entry from Alexandria: crystalline V6Cr2W at its relaxed geometry (PBE-GGA).

Unit cell a=2.672 b=6.420 c=7.220 alpha=78.56 beta=89.86 gamma=81.63
Fractional positions:
V: 0.051 0.346 0.265
V: 0.179 0.995 0.842
V: 0.287 0.663 0.381
V: 0.713 0.337 0.619
V: 0.821 0.005 0.158
V: 0.949 0.654 0.735
Cr: 0.391 0.334 0.946
Cr: 0.609 0.666 0.054
W: 0.500 0.000 0.500

Output
ΔE to the lowest computed polymorph, eV/atom: 0.0000
E_form, kJ per mole of atoms: -3.6
Symmetry: No. 2
VASP energy, eV/atom: -9.69

---

Record 8
Entry from Alexandria: crystalline CaCrPd at its relaxed geometry (PBE-GGA).

Unit cell a=5.657 b=5.657 c=5.573 alpha=91.69 beta=91.69 gamma=45.11
Fractional positions:
Ca: 0.000 0.000 0.000
Ca: 0.578 0.578 0.518
Cr: 0.282 0.282 0.265
Cr: 0.725 0.725 0.031
Pd: 0.285 0.285 0.769
Pd: 0.865 0.865 0.491

Output
ΔE to the lowest computed polymorph, eV/atom: 0.0000
E_form, kJ per mole of atoms: -8.5
Symmetry: No. 8
VASP energy, eV/atom: -5.69

---

Record 9
Entry from Alexandria: crystalline LaYZr2 at its relaxed geometry (PBE-GGA).

Unit cell a=3.995 b=3.995 c=6.896 alpha=90.00 beta=90.00 gamma=90.00
Fractional positions:
La: 0.000 0.000 0.000
Y: 0.000 0.000 0.500
Zr: 0.500 0.500 0.233
Zr: 0.500 0.500 0.767

Output
ΔE to the lowest computed polymorph, eV/atom: 0.1338
E_form, kJ per mole of atoms: 23.3
Symmetry: No. 123
VASP energy, eV/atom: -6.88

---

Record 10
Entry from Alexandria: crystalline LaPmPuGa at its relaxed geometry (PBE-GGA).

Unit cell a=5.417 b=5.417 c=5.417 alpha=60.00 beta=60.00 gamma=60.00
Fractional positions:
La: 0.000 0.000 0.000
Pm: 0.750 0.750 0.750
Pu: 0.500 0.500 0.500
Ga: 0.250 0.250 0.250

Output
E_form, kJ per mole of atoms: 4.0
Symmetry: No. 216
VASP energy, eV/atom: -6.72

---

Record 11
Entry from Alexandria: crystalline CsSrTc2I at its relaxed geometry (PBE-GGA).

Unit cell a=5.084 b=5.084 c=6.082 alpha=90.00 beta=90.00 gamma=90.00
Fractional positions:
Cs: 0.000 0.000 0.000
Sr: 0.500 0.500 0.000
Tc: 0.000 0.500 0.500
Tc: 0.500 0.000 0.500
I: 0.500 0.500 0.500

Output
Symmetry: No. 123
VASP energy, eV/atom: -3.65
ΔE_f (raw), meV/atom: 1309

---

Record 12
Entry from Alexandria: crystalline LiNiPbAu at its relaxed geometry (PBE-GGA).

Unit cell a=4.557 b=4.557 c=4.557 alpha=60.00 beta=60.00 gamma=60.00
Fractional positions:
Li: 0.000 0.000 0.000
Ni: 0.500 0.500 0.500
Pb: 0.250 0.250 0.250
Au: 0.750 0.750 0.750

Output
E_form, kJ per mole of atoms: -15.1
Symmetry: No. 216
VASP energy, eV/atom: -3.83

---

Record 13
Entry from Alexandria: crystalline Th3NpSe4 at its relaxed geometry (PBE-GGA).

Unit cell a=7.245 b=7.245 c=7.245 alpha=131.82 beta=131.82 gamma=70.52
Fractional positions:
Th: 0.000 0.000 0.000
Th: 0.250 0.750 0.500
Th: 0.750 0.250 0.500
Np: 0.500 0.500 0.000
Se: 0.000 0.500 0.500
Se: 0.253 0.253 0.000
Se: 0.500 0.000 0.500
Se: 0.747 0.747 0.000

Output
Symmetry: No. 139
VASP energy, eV/atom: -7.56
ΔE_f (raw), meV/atom: -1421

---

Record 14
Entry from Alexandria: crystalline In2H2Cl at its relaxed geometry (PBE-GGA).

Unit cell a=3.872 b=4.997 c=5.846 alpha=112.86 beta=109.25 gamma=90.05
Fractional positions:
In: 0.135 0.253 0.266
In: 0.865 0.747 0.734
H: 0.274 0.704 0.541
H: 0.726 0.296 0.459
Cl: 0.500 0.500 0.000

Output
Symmetry: No. 2
VASP energy, eV/atom: -2.88

---

Record 15
Entry from Alexandria: crystalline Sr3Er3PuTe8 at its relaxed geometry (PBE-GGA).

Unit cell a=9.154 b=9.154 c=9.154 alpha=58.07 beta=58.07 gamma=58.07
Fractional positions:
Sr: 0.000 0.500 0.500
Sr: 0.500 0.000 0.500
Sr: 0.500 0.500 0.000
Er: 0.000 0.000 0.500
Er: 0.000 0.500 0.000
Er: 0.500 0.000 0.000
Pu: 0.500 0.500 0.500
Te: 0.231 0.751 0.751
Te: 0.243 0.243 0.243
Te: 0.249 0.249 0.769
Te: 0.249 0.769 0.249
Te: 0.751 0.231 0.751
Te: 0.751 0.751 0.231
Te: 0.757 0.757 0.757
Te: 0.769 0.249 0.249

Output
Symmetry: No. 166
VASP energy, eV/atom: -5.31
ΔE_f (raw), meV/atom: -1432

---

Record 16
Entry from Alexandria: crystalline Mg2CuBr at its relaxed geometry (PBE-GGA).

Unit cell a=7.909 b=7.909 c=7.909 alpha=155.63 beta=155.63 gamma=34.73
Fractional positions:
Mg: 0.102 0.102 0.000
Mg: 0.898 0.898 0.000
Cu: 0.500 0.500 0.000
Br: 0.750 0.250 0.500

Output
ΔE to the lowest computed polymorph, eV/atom: 0.0000
Symmetry: No. 119
VASP energy, eV/atom: -2.58
ΔE_f (raw), meV/atom: -343

---

Record 17
Entry from Alexandria: crystalline CaLaY2 at its relaxed geometry (PBE-GGA).

Unit cell a=6.298 b=6.298 c=6.298 alpha=130.37 beta=130.37 gamma=72.82
Fractional positions:
Ca: 0.000 0.000 0.000
La: 0.250 0.750 0.500
Y: 0.500 0.500 0.000
Y: 0.750 0.250 0.500

Output
ΔE to the lowest computed polymorph, eV/atom: 0.0588
E_form, kJ per mole of atoms: 11.1
Symmetry: No. 119
VASP energy, eV/atom: -4.85

---

Record 18
Entry from Alexandria: crystalline YScO3 at its relaxed geometry (PBE-GGA).

Unit cell a=3.589 b=3.589 c=12.426 alpha=90.00 beta=90.00 gamma=120.00
Fractional positions:
Y: 0.000 0.000 0.000
Y: 0.000 0.000 0.500
Sc: 0.333 0.667 0.250
Sc: 0.667 0.333 0.750
O: 0.000 0.000 0.250
O: 0.000 0.000 0.750
O: 0.333 0.667 0.083
O: 0.333 0.667 0.417
O: 0.667 0.333 0.583
O: 0.667 0.333 0.917

Output
Symmetry: No. 194
VASP energy, eV/atom: -9.05
ΔE_f (raw), meV/atom: -3521

---

Record 19
Entry from Alexandria: crystalline NaAc8Rh4 at its relaxed geometry (PBE-GGA).

Unit cell a=10.738 b=10.738 c=14.301 alpha=129.86 beta=129.86 gamma=23.48
Fractional positions:
Na: 0.000 0.000 0.000
Ac: 0.041 0.041 0.737
Ac: 0.292 0.292 0.929
Ac: 0.333 0.333 0.659
Ac: 0.367 0.367 0.410
Ac: 0.633 0.633 0.591
Ac: 0.667 0.667 0.342
Ac: 0.708 0.708 0.072
Ac: 0.960 0.960 0.264
Rh: 0.146 0.146 0.461
Rh: 0.337 0.337 0.174
Rh: 0.664 0.664 0.827
Rh: 0.855 0.855 0.540

Output
E_form, kJ per mole of atoms: -48.7
Symmetry: No. 8
VASP energy, eV/atom: -5.40

---

Record 20
Entry from Alexandria: crystalline Sc3Sb at its relaxed geometry (PBE-GGA).

Unit cell a=3.377 b=3.377 c=9.834 alpha=90.00 beta=90.00 gamma=120.00
Fractional positions:
Sc: 0.000 0.000 0.000
Sc: 0.667 0.333 0.261
Sc: 0.667 0.333 0.739
Sb: 0.000 0.000 0.500

Output
ΔE to the lowest computed polymorph, eV/atom: 0.2791
Symmetry: No. 187
VASP energy, eV/atom: -6.05
ΔE_f (raw), meV/atom: -270